Compound: ErZrGa2
Source: the Alexandria database
Functional: PBE
Structure: relaxed

POSCAR file:
```
ErZrGa2
1.0
3.913 0.000 0.000
0.000 5.653 0.000
0.000 0.000 7.682
Er Zr Ga
2 2 4
direct
0.000 0.128 0.000
0.000 0.872 0.500
0.500 0.372 0.643
0.500 0.628 0.143
0.000 0.397 0.363
0.000 0.603 0.863
0.500 0.121 0.283
0.500 0.879 0.783
```

Properties
Crystal system: orthorhombic
ΔH_f (0 K) in eV per formula unit: -2.3
Energy above the lowest structure with this stoichiometry in meV per atom: 3
DFT total energy in eV/cell: -43.0